The following is a DFT calculation (PBE) of PmNd2Te3 after structural relaxation.

Properties
Raw formation energy in kJ per mole of atoms: -135.63
ρ in g cm⁻³: 7.06
Magnetic moment in μB/atom: 0.000
Space group: P6_3/mmc, No. 194
Crystal system: hexagonal
ΔE to the lowest computed polymorph in meV/atom: 11

Cell: 4.4055 4.4055 22.8460 Å, 90.00 90.00 120.00°
Closest atoms and distances in Å follow each position.
Fractional positions:
1 Nd 0.6667 0.3333 0.4177  6 Te 3.16-3.18
2 Nd 0.6667 0.3333 0.0823  6 Te 3.16-3.18
3 Nd 0.3333 0.6667 0.9177  6 Te 3.16-3.18
4 Nd 0.3333 0.6667 0.5823  6 Te 3.16-3.18
5 Pm 0.0000 0.0000 0.7500  6 Te 3.18
6 Pm 0.0000 0.0000 0.2500  6 Te 3.18
7 Te 0.3333 0.6667 0.1661  3 Pm 3.18, 3 Nd 3.18
8 Te 0.0000 0.0000 0.0000  6 Nd 3.16
9 Te 0.0000 0.0000 0.5000  6 Nd 3.16
10 Te 0.6667 0.3333 0.6661  3 Pm 3.18, 3 Nd 3.18
11 Te 0.6667 0.3333 0.8339  3 Pm 3.18, 3 Nd 3.18
12 Te 0.3333 0.6667 0.3339  3 Pm 3.18, 3 Nd 3.18